1.
# CdFeSCl2, optimized geometry, DFT PBE
# - E_form (uncorrected): 31.5 kJ/mol of atoms
# - Offset from the most stable computed form: 439 meV/atom
data_CdFeSCl2
_cell_length_a 5.0105
_cell_length_b 5.0105
_cell_length_c 5.2082
_cell_angle_alpha 90.00
_cell_angle_beta 90.00
_cell_angle_gamma 90.00
_space_group_name_H-M_alt 'P 1'
_space_group_IT_number 1
loop_
_space_group_symop_operation_xyz
'x,y,z'
loop_
_atom_site_label
_atom_site_fract_x
_atom_site_fract_y
_atom_site_fract_z
Cd1 0.0000 0.0000 0.0000
Fe1 0.5000 0.5000 0.5000
S1 0.0000 0.0000 0.5000
Cl1 0.0000 0.5000 0.0000
Cl2 0.5000 0.0000 0.0000



2.
# Sc2CCl2, optimized geometry, DFT PBE
# - E_form (uncorrected): 0.5 kJ/mol of atoms
# - Offset from the most stable computed form: 1552 meV/atom
data_Sc2CCl2
_cell_length_a 6.8621
_cell_length_b 6.8621
_cell_length_c 6.8621
_cell_angle_alpha 147.51
_cell_angle_beta 147.51
_cell_angle_gamma 46.61
_space_group_name_H-M_alt 'P 1'
_space_group_IT_number 1
loop_
_space_group_symop_operation_xyz
'x,y,z'
loop_
_atom_site_label
_atom_site_fract_x
_atom_site_fract_y
_atom_site_fract_z
Sc1 0.1121 0.1121 0.0000
Sc2 0.8879 0.8879 0.0000
C1 0.5000 0.5000 0.0000
Cl1 0.2500 0.7500 0.5000
Cl2 0.7500 0.2500 0.5000



3.
# Ce2PbSe, optimized geometry, DFT PBE
# - E_form (uncorrected): -93.6 kJ/mol of atoms
# - Offset from the most stable computed form: 81 meV/atom
data_Ce2PbSe
_cell_length_a 3.6151
_cell_length_b 3.6151
_cell_length_c 8.2279
_cell_angle_alpha 90.00
_cell_angle_beta 90.00
_cell_angle_gamma 90.00
_space_group_name_H-M_alt 'P 1'
_space_group_IT_number 1
loop_
_space_group_symop_operation_xyz
'x,y,z'
loop_
_atom_site_label
_atom_site_fract_x
_atom_site_fract_y
_atom_site_fract_z
Ce1 0.0000 0.0000 0.2217
Ce2 0.0000 0.0000 0.7783
Pb1 0.5000 0.5000 0.5000
Se1 0.5000 0.5000 0.0000



4.
# BaAcDy, optimized geometry, DFT PBE
# - Energy of formation: 0.156 eV/atom
# - Offset from the most stable computed form: 85 meV/atom
data_BaAcDy
_cell_length_a 3.9389
_cell_length_b 3.9389
_cell_length_c 9.7234
_cell_angle_alpha 90.00
_cell_angle_beta 90.00
_cell_angle_gamma 120.00
_space_group_name_H-M_alt 'P 1'
_space_group_IT_number 1
loop_
_space_group_symop_operation_xyz
'x,y,z'
loop_
_atom_site_label
_atom_site_fract_x
_atom_site_fract_y
_atom_site_fract_z
Ba1 0.0000 0.0000 0.0000
Ac1 0.3333 0.6667 0.6305
Dy1 0.6667 0.3333 0.3339



5.
# SrHfB2, optimized geometry, DFT PBE
# - Energy of formation: 0.838 eV/atom
data_SrHfB2
_cell_length_a 7.9311
_cell_length_b 7.9311
_cell_length_c 7.9311
_cell_angle_alpha 142.23
_cell_angle_beta 142.23
_cell_angle_gamma 54.48
_space_group_name_H-M_alt 'P 1'
_space_group_IT_number 1
loop_
_space_group_symop_operation_xyz
'x,y,z'
loop_
_atom_site_label
_atom_site_fract_x
_atom_site_fract_y
_atom_site_fract_z
Sr1 0.0000 0.0000 0.0000
Sr2 0.7500 0.2500 0.5000
Hf1 0.2500 0.7500 0.5000
Hf2 0.5000 0.5000 0.0000
B1 0.2420 0.6250 0.1170
B2 0.3750 0.4920 0.6170
B3 0.5080 0.1250 0.8830
B4 0.8750 0.7580 0.3830



6.
# Cu2AsRu, optimized geometry, DFT PBE
# - Energy of formation: 0.198 eV/atom
data_Cu2AsRu
_cell_length_a 2.8244
_cell_length_b 4.2570
_cell_length_c 4.7697
_cell_angle_alpha 90.00
_cell_angle_beta 105.20
_cell_angle_gamma 90.00
_space_group_name_H-M_alt 'P 1'
_space_group_IT_number 1
loop_
_space_group_symop_operation_xyz
'x,y,z'
loop_
_atom_site_label
_atom_site_fract_x
_atom_site_fract_y
_atom_site_fract_z
Cu1 0.1398 0.0000 0.2583
Cu2 0.8602 0.0000 0.7417
As1 0.0000 0.5000 0.5000
Ru1 0.5000 0.5000 0.0000